Record 1
A plane-wave DFT calculation with PBE was carried out for LiYAs2 after structural relaxation.

Properties
ΔE to the lowest computed polymorph   107 meV/atom
Total magnetic moment   0.00 μB/cell
DFT formation energy   -743.1 meV per atom

Cell: 7.4062 7.4062 5.9117 Å, 90.00 90.00 90.00°
With the nearest neighbours (Å) after each atom.
Space group I-42d (No. 122)
Unique sites:
1 Li 0.0000 0.0000 0.0000  4 As 2.55
2 Y 0.0000 0.0000 0.5000  4 As 2.90, 2 Li 2.96
3 As 0.2154 0.2500 0.1250  2 Li 2.55


Record 2
A plane-wave DFT calculation with PBE was carried out for LaCI3 after structural relaxation.

Properties
ΔE to the lowest computed polymorph   32 meV/atom
Total magnetic moment   2.00 μB/cell

Cell: 6.3036 6.3036 6.3036 Å, 90.00 90.00 90.00°
With the nearest neighbours (Å) after each atom.
Space group Pm-3m (No. 221)
Unique sites:
1 La 0.0000 0.0000 0.0000  6 I 3.15
2 C 0.5000 0.5000 0.5000  12 I 4.46
3 I 0.0000 0.0000 0.5000  2 La 3.15


Record 3
A plane-wave DFT calculation with PBE was carried out for NbSiPCl2 after structural relaxation.

Properties
ΔE to the lowest computed polymorph   318 meV/atom
Total magnetic moment   2.68 μB/cell

Cell: 4.5565 4.5565 4.8706 Å, 90.00 90.00 90.00°
With the nearest neighbours (Å) after each atom.
Space group P4/mmm (No. 123)
Unique sites:
1 Nb 0.0000 0.0000 0.0000  4 P 3.22, 8 Cl 3.33
2 Si 0.5000 0.5000 0.5000  4 Cl 2.28, 2 P 2.44
3 P 0.5000 0.5000 0.0000  2 Si 2.44
4 Cl 0.0000 0.5000 0.5000  2 Si 2.28


Record 4
A plane-wave DFT calculation with PBE was carried out for CoRuAu2 after structural relaxation.

Properties
Total magnetic moment   1.58 μB/cell
DFT formation energy   217.1 meV per atom

Cell: 2.7863 2.7863 7.8720 Å, 90.00 90.00 90.00°
With the nearest neighbours (Å) after each atom.
Space group P4mm (No. 99)
Unique sites:
1 Co 0.0000 0.0000 0.0000  4 Ru 2.48, 4 Au 2.77
2 Ru 0.5000 0.5000 0.1913  4 Co 2.48
3 Au 0.0000 0.0000 0.4620  8 Au 2.79-3.02, 4 Ru 2.90
4 Au 0.5000 0.5000 0.7530  4 Co 2.77, 8 Au 2.79-3.02


Question: Which value of total magnetic moment does entry 1 give?
Answer: 0.00 μB/cell


What did the fourth record say?
A plane-wave DFT calculation with PBE was carried out for CoRuAu2 after structural relaxation.

Properties
Total magnetic moment   1.58 μB/cell
DFT formation energy   217.1 meV per atom

Cell: 2.7863 2.7863 7.8720 Å, 90.00 90.00 90.00°
With the nearest neighbours (Å) after each atom.
Space group P4mm (No. 99)
Unique sites:
1 Co 0.0000 0.0000 0.0000  4 Ru 2.48, 4 Au 2.77
2 Ru 0.5000 0.5000 0.1913  4 Co 2.48
3 Au 0.0000 0.0000 0.4620  8 Au 2.79-3.02, 4 Ru 2.90
4 Au 0.5000 0.5000 0.7530  4 Co 2.77, 8 Au 2.79-3.02


Question: total magnetic moment of number 3 (NbSiPCl2)?
Answer: 2.68 μB/cell


Question: Which of these has the lowest total magnetic moment?
Answer: LiYAs2